# AcPuRe

AcPuRe after structural relaxation (PBE, OQMD).

final energy	-8.265	eV per atom
total moment	0.052	Bohr magnetons per cell
ΔE to the lowest computed polymorph	1419.0	meV per atom

Unit cell a=4.727 b=4.727 c=4.727 alpha=60.00 beta=60.00 gamma=60.00
Fractional coordinates of all 3 atoms:
Ac1 0.000 0.000 0.000
Pu1 0.250 0.250 0.250
Re1 0.750 0.750 0.750

***

# HoNpSi

HoNpSi after structural relaxation (PBE, OQMD).

final energy	-7.558	eV per atom
total moment	5.238	Bohr magnetons per cell
ΔE to the lowest computed polymorph	0.0	meV per atom

Unit cell a=4.815 b=4.815 c=4.815 alpha=60.00 beta=60.00 gamma=60.00
Fractional coordinates of all 3 atoms:
Ho1 0.250 0.250 0.250
Np1 0.750 0.750 0.750
Si1 0.000 0.000 0.000

***

# BaRe3F

BaRe3F after structural relaxation (PBE, OQMD).

final energy	-6.353	eV per atom
total moment	3.955	Bohr magnetons per cell

Unit cell a=4.525 b=4.525 c=4.525 alpha=90.00 beta=90.00 gamma=90.00
Last column: magnetic moment on the atom in μB.
Fractional coordinates of all 5 atoms:
Ba1 0.000 0.000 0.000  0.10
F1 0.500 0.500 0.500  0.01
Re1 0.500 0.500 0.000  1.49
Re2 0.500 0.000 0.500  1.21
Re3 0.000 0.500 0.500  0.85

***

# Sm3Ni2Sn3Pd

Sm3Ni2Sn3Pd after structural relaxation (PBE, OQMD).

final energy	-5.443	eV per atom
total moment	0.000	Bohr magnetons per cell

Unit cell a=7.415 b=7.415 c=4.114 alpha=90.00 beta=90.00 gamma=120.00
Fractional coordinates of all 9 atoms:
Ni1 0.667 0.333 0.500
Ni2 0.333 0.667 0.500
Pd1 0.000 0.000 0.000
Sm1 0.413 0.000 0.000
Sm2 0.000 0.413 0.000
Sm3 0.587 0.587 0.000
Sn1 0.739 0.000 0.500
Sn2 0.261 0.261 0.500
Sn3 0.000 0.739 0.500

***

# Ho2Zn3GaNi2

Ho2Zn3GaNi2 after structural relaxation (PBE, OQMD).

final energy	-3.875	eV per atom
total moment	0.003	Bohr magnetons per cell

Unit cell a=5.138 b=5.138 c=7.087 alpha=90.30 beta=90.30 gamma=46.45
Fractional coordinates of all 8 atoms:
Ga1 0.352 0.352 0.945
Ho1 0.934 0.934 0.250
Ho2 0.066 0.066 0.746
Ni1 0.221 0.221 0.246
Ni2 0.782 0.782 0.756
Zn1 0.644 0.644 0.058
Zn2 0.648 0.648 0.446
Zn3 0.352 0.352 0.553

***

# LiZrBeSe3

LiZrBeSe3 after structural relaxation (PBE, OQMD).

final energy	-5.130	eV per atom
total moment	0.202	Bohr magnetons per cell

Unit cell a=7.001 b=7.001 c=10.245 alpha=90.00 beta=90.00 gamma=149.93
Last column: magnetic moment on the atom in μB.
Fractional coordinates of all 12 atoms:
Be1 0.531 0.469 0.250  0.00
Be2 0.469 0.531 0.750  0.00
Li1 0.205 0.795 0.250  0.00
Li2 0.795 0.205 0.750  0.00
Se1 0.639 0.361 0.079  0.01
Se2 0.926 0.074 0.250  0.00
Se3 0.639 0.361 0.421  0.01
Se4 0.361 0.639 0.579  0.01
Se5 0.074 0.926 0.750  0.00
Se6 0.361 0.639 0.921  0.01
Zr1 0.000 0.000 0.000  0.05
Zr2 0.000 0.000 0.500  0.05

***

# DyTmCo2C2

DyTmCo2C2 after structural relaxation (PBE, OQMD).

final energy	-7.292	eV per atom
total moment	0.605	Bohr magnetons per cell

Unit cell a=3.605 b=3.605 c=6.827 alpha=90.00 beta=90.00 gamma=90.00
Last column: magnetic moment on the atom in μB.
Fractional coordinates of all 6 atoms:
C1 0.000 0.500 0.255  0.01
C2 0.500 0.000 0.745  -0.01
Co1 0.500 0.500 0.259  -0.34
Co2 0.500 0.500 0.741  -0.32
Dy1 0.000 0.000 0.000  0.02
Tm1 0.000 0.000 0.500  0.02

***

# PmO2

PmO2 after structural relaxation (PBE, OQMD).

final energy	-7.312	eV per atom
total moment	2.001	Bohr magnetons per cell
ΔE to the lowest computed polymorph	0.0	meV per atom

Unit cell a=5.325 b=5.325 c=3.655 alpha=90.00 beta=90.00 gamma=90.00
Last column: magnetic moment on the atom in μB.
Fractional coordinates of all 6 atoms:
O1 0.307 0.307 0.000  0.36
O2 0.693 0.693 0.000  0.36
O3 0.807 0.193 0.500  0.47
O4 0.193 0.807 0.500  0.47
Pm1 0.000 0.000 0.000  -0.02
Pm2 0.500 0.500 0.500  -0.02

***

# MgInBPd

MgInBPd after structural relaxation (PBE, OQMD).

final energy	-3.703	eV per atom
ΔE to the lowest computed polymorph	0.0	meV per atom

Unit cell a=4.479 b=4.479 c=4.479 alpha=60.00 beta=60.00 gamma=60.00
Fractional coordinates of all 4 atoms:
B1 0.000 0.000 0.000
In1 0.250 0.250 0.250
Mg1 0.750 0.750 0.750
Pd1 0.500 0.500 0.500

***

# NbAlTc

NbAlTc after structural relaxation (PBE, OQMD).

final energy	-8.298	eV per atom
total moment	0.013	Bohr magnetons per cell
ΔE to the lowest computed polymorph	186.8	meV per atom

Unit cell a=3.293 b=3.293 c=8.753 alpha=90.00 beta=90.00 gamma=90.00
Fractional coordinates of all 6 atoms:
Al1 0.500 0.500 0.151
Al2 0.500 0.500 0.849
Nb1 0.000 0.000 0.333
Nb2 0.000 0.000 0.667
Tc1 0.000 0.000 0.000
Tc2 0.500 0.500 0.500

***

# Na3PaTe4

Na3PaTe4 after structural relaxation (PBE, OQMD).

final energy	-4.166	eV per atom
total moment	0.003	Bohr magnetons per cell

Unit cell a=7.753 b=7.753 c=4.527 alpha=90.00 beta=90.00 gamma=108.54
Fractional coordinates of all 8 atoms:
Na1 0.500 0.000 0.000
Na2 0.000 0.500 0.000
Na3 0.500 0.500 0.500
Pa1 0.000 0.000 0.500
Te1 0.228 0.228 0.000
Te2 0.772 0.772 0.000
Te3 0.767 0.233 0.500
Te4 0.233 0.767 0.500

***

# TaSnHg

TaSnHg after structural relaxation (PBE, OQMD).

final energy	-4.433	eV per atom
total moment	1.026	Bohr magnetons per cell
ΔE to the lowest computed polymorph	277.7	meV per atom

Unit cell a=4.698 b=4.698 c=4.698 alpha=60.00 beta=60.00 gamma=60.00
Last column: magnetic moment on the atom in μB.
Fractional coordinates of all 3 atoms:
Hg1 0.250 0.250 0.250  0.02
Sn1 0.000 0.000 0.000  0.04
Ta1 0.750 0.750 0.750  0.69

***

# Li2Zn2BiSb

Li2Zn2BiSb after structural relaxation (PBE, OQMD).

final energy	-2.732	eV per atom

Unit cell a=11.043 b=4.507 c=11.044 alpha=90.00 beta=109.42 gamma=90.00
Fractional coordinates of all 24 atoms:
Bi1 0.873 0.500 0.373
Bi2 0.623 0.500 0.624
Bi3 0.002 0.000 0.753
Bi4 0.377 0.500 0.876
Li1 0.251 0.000 0.001
Li2 0.621 0.500 0.125
Li3 0.000 0.000 0.254
Li4 0.374 0.500 0.374
Li5 0.745 0.000 0.496
Li6 0.125 0.500 0.621
Li7 0.505 0.000 0.750
Li8 0.880 0.500 0.880
Sb1 0.753 0.000 0.001
Sb2 0.126 0.500 0.127
Sb3 0.497 0.000 0.248
Sb4 0.248 0.000 0.497
Zn1 0.003 0.000 0.008
Zn2 0.373 0.500 0.128
Zn3 0.744 0.000 0.244
Zn4 0.128 0.500 0.373
Zn5 0.494 0.000 0.495
Zn6 0.874 0.500 0.625
Zn7 0.252 0.000 0.745
Zn8 0.632 0.500 0.881

***

# Cd2GeSe4

Cd2GeSe4 after structural relaxation (PBE, OQMD).

final energy	-3.232	eV per atom

Unit cell a=8.045 b=8.045 c=11.268 alpha=90.00 beta=90.00 gamma=90.00
Fractional coordinates of all 28 atoms:
Cd1 0.000 0.258 0.000
Cd2 0.250 0.750 0.125
Cd3 0.742 0.000 0.250
Cd4 0.250 0.250 0.375
Cd5 0.000 0.742 0.500
Cd6 0.750 0.250 0.625
Cd7 0.258 0.000 0.750
Cd8 0.750 0.750 0.875
Ge1 0.500 0.252 0.000
Ge2 0.748 0.500 0.250
Ge3 0.500 0.748 0.500
Ge4 0.252 0.500 0.750
Se1 0.265 0.035 0.001
Se2 0.732 0.483 0.019
Se3 0.517 0.268 0.231
Se4 0.965 0.735 0.249
Se5 0.965 0.265 0.251
Se6 0.517 0.732 0.269
Se7 0.732 0.517 0.481
Se8 0.265 0.965 0.499
Se9 0.735 0.965 0.501
Se10 0.268 0.517 0.519
Se11 0.483 0.732 0.731
Se12 0.035 0.265 0.749
Se13 0.035 0.735 0.751
Se14 0.483 0.268 0.769
Se15 0.268 0.483 0.981
Se16 0.735 0.035 0.999

***

# NaNdTc

NaNdTc after structural relaxation (PBE, OQMD).

final energy	-4.158	eV per atom
total moment	1.054	Bohr magnetons per cell
ΔE to the lowest computed polymorph	23.0	meV per atom

Unit cell a=4.831 b=4.831 c=4.831 alpha=60.00 beta=60.00 gamma=60.00
Last column: magnetic moment on the atom in μB.
Fractional coordinates of all 3 atoms:
Na1 0.250 0.250 0.250  -0.02
Nd1 0.000 0.000 0.000  -0.13
Tc1 0.750 0.750 0.750  1.23

***

# NiAg2H6Ir

NiAg2H6Ir after structural relaxation (PBE, OQMD).

final energy	-3.879	eV per atom
total moment	0.001	Bohr magnetons per cell

Unit cell a=4.889 b=4.889 c=4.889 alpha=60.00 beta=60.00 gamma=60.00
Fractional coordinates of all 10 atoms:
Ag1 0.250 0.250 0.250
Ag2 0.750 0.750 0.750
H1 0.748 0.252 0.252
H2 0.252 0.748 0.252
H3 0.748 0.748 0.252
H4 0.252 0.252 0.748
H5 0.252 0.748 0.748
H6 0.748 0.252 0.748
Ir1 0.000 0.000 0.000
Ni1 0.500 0.500 0.500

***

# YFeCoSn

YFeCoSn after structural relaxation (PBE, OQMD).

final energy	-6.548	eV per atom
total moment	2.370	Bohr magnetons per cell
ΔE to the lowest computed polymorph	0.0	meV per atom

Unit cell a=4.574 b=4.574 c=4.574 alpha=60.00 beta=60.00 gamma=60.00
Last column: magnetic moment on the atom in μB.
Fractional coordinates of all 4 atoms:
Co1 0.750 0.750 0.750  0.76
Fe1 0.250 0.250 0.250  1.93
Sn1 0.000 0.000 0.000  -0.05
Y1 0.500 0.500 0.500  -0.17

***

# LiTm2

LiTm2 after structural relaxation (PBE, OQMD).

final energy	-1.675	eV per atom
total moment	2.736	Bohr magnetons per cell
ΔE to the lowest computed polymorph	1495.2	meV per atom

Unit cell a=8.304 b=8.304 c=8.304 alpha=60.00 beta=60.00 gamma=60.00
Last column: magnetic moment on the atom in μB.
Fractional coordinates of all 6 atoms:
Li1 0.250 0.250 0.250  0.12
Li2 0.500 0.500 0.500  0.12
Tm1 0.375 0.375 0.375  0.31
Tm2 0.875 0.375 0.375  0.38
Tm3 0.375 0.875 0.375  0.30
Tm4 0.375 0.375 0.875  0.31

***

# TaInNiHg

TaInNiHg after structural relaxation (PBE, OQMD).

final energy	-4.696	eV per atom
total moment	0.002	Bohr magnetons per cell
ΔE to the lowest computed polymorph	0.0	meV per atom

Unit cell a=4.657 b=4.657 c=4.657 alpha=60.00 beta=60.00 gamma=60.00
Fractional coordinates of all 4 atoms:
Hg1 0.250 0.250 0.250
In1 0.000 0.000 0.000
Ni1 0.750 0.750 0.750
Ta1 0.500 0.500 0.500

***

# USiNi

USiNi after structural relaxation (PBE, OQMD).

final energy	-6.888	eV per atom
total moment	0.032	Bohr magnetons per cell

Unit cell a=4.435 b=4.435 c=4.435 alpha=60.00 beta=60.00 gamma=60.00
Fractional coordinates of all 3 atoms:
Ni1 0.750 0.750 0.750
Si1 0.250 0.250 0.250
U1 0.000 0.000 0.000

***

# BaCd2AgPd

BaCd2AgPd after structural relaxation (PBE, OQMD).

final energy	-2.712	eV per atom

Unit cell a=6.962 b=6.962 c=6.962 alpha=141.49 beta=141.49 gamma=55.60
Fractional coordinates of all 5 atoms:
Ag1 0.609 0.609 0.000
Ba1 0.995 0.995 0.000
Cd1 0.755 0.255 0.500
Cd2 0.255 0.755 0.500
Pd1 0.386 0.386 0.000

***

# AgGeS6

AgGeS6 after structural relaxation (PBE, OQMD).

final energy	-3.247	eV per atom

Unit cell a=6.179 b=6.179 c=6.179 alpha=60.00 beta=60.00 gamma=60.00
Fractional coordinates of all 8 atoms:
Ag1 0.500 0.500 0.500
Ge1 0.250 0.250 0.250
S1 0.978 0.522 0.522
S2 0.522 0.978 0.522
S3 0.978 0.978 0.522
S4 0.522 0.522 0.978
S5 0.978 0.522 0.978
S6 0.522 0.978 0.978

***

# NdHoSb2

NdHoSb2 after structural relaxation (PBE, OQMD).

final energy	-5.532	eV per atom
total moment	0.001	Bohr magnetons per cell

Unit cell a=4.445 b=4.445 c=6.286 alpha=90.00 beta=90.00 gamma=90.00
Fractional coordinates of all 4 atoms:
Ho1 0.000 0.000 0.000
Nd1 0.500 0.500 0.500
Sb1 0.500 0.500 0.000
Sb2 0.000 0.000 0.500

***

# NaDyTeO

NaDyTeO after structural relaxation (PBE, OQMD).

final energy	-5.399	eV per atom
total moment	0.000	Bohr magnetons per cell
ΔE to the lowest computed polymorph	156.5	meV per atom

Unit cell a=4.531 b=7.791 c=6.529 alpha=90.00 beta=90.00 gamma=90.00
Fractional coordinates of all 8 atoms:
Dy1 0.500 0.886 0.013
Dy2 0.500 0.114 0.513
Na1 0.000 0.275 0.130
Na2 0.000 0.725 0.630
O1 0.500 0.111 0.190
O2 0.500 0.889 0.690
Te1 0.000 0.678 0.159
Te2 0.000 0.322 0.659

***

# HoZnB

HoZnB after structural relaxation (PBE, OQMD).

final energy	-3.819	eV per atom
total moment	0.001	Bohr magnetons per cell
ΔE to the lowest computed polymorph	548.7	meV per atom

Unit cell a=4.191 b=4.191 c=4.191 alpha=60.00 beta=60.00 gamma=60.00
Fractional coordinates of all 3 atoms:
B1 0.250 0.250 0.250
Ho1 0.750 0.750 0.750
Zn1 0.000 0.000 0.000